Entry 1:
# PBE-GGA BiSb2As2, optimized geometry
data_BiSb2As2
_chemical_formula_sum 'Bi2 Sb4 As4'
_cell_length_a 5.5473
_cell_length_b 5.5473
_cell_length_c 8.8251
_cell_angle_alpha 90.00
_cell_angle_beta 90.00
_cell_angle_gamma 90.00
_space_group_name_H-M_alt 'I 4/m m m'
_space_group_IT_number 139
_space_group_name_Hall '-I 4 2'
loop_
_atom_site_label
_atom_site_type_symbol
_atom_site_fract_x
_atom_site_fract_y
_atom_site_fract_z
Bi1 Bi 0.0000 0.0000 0.0000
Sb1 Sb 0.0000 0.5000 0.2500
As1 As 0.0000 0.0000 0.3532
# * formation energy (no corrections): 19 kJ per mole of atoms
# * energy above the most stable polymorph in this dataset: 3 meV/atom

Entry 2:
# PBE-GGA BiSbAs, optimized geometry
data_BiSbAs
_chemical_formula_sum 'Bi2 Sb2 As2'
_cell_length_a 4.2803
_cell_length_b 4.4831
_cell_length_c 9.8691
_cell_angle_alpha 96.97
_cell_angle_beta 102.24
_cell_angle_gamma 90.32
_space_group_name_H-M_alt 'P -1'
_space_group_IT_number 2
loop_
_space_group_symop_operation_xyz
'x,y,z'
'-x,-y,-z'
loop_
_atom_site_label
_atom_site_type_symbol
_atom_site_fract_x
_atom_site_fract_y
_atom_site_fract_z
Bi1 Bi 0.0842 0.0624 0.1620
Sb1 Sb 0.2575 0.2830 0.5201
As1 As 0.4015 0.3495 0.8033
# * formation energy (no corrections): 1 kJ per mole of atoms
# * energy above the most stable polymorph in this dataset: 13 meV/atom

| no. | density of states at the Fermi level (states/eV/f.u.) |
| --- | --- |
| 1 | 2.17 |
| 2 | 0.41 |